[1]
The following is a DFT calculation (PBE) of a geometry-optimized CsSrErS3 structure.

Lattice parameters (Å, degrees): 8.254 8.254 12.133 90.00 90.00 148.21
Positions (direct):
Cs: 0.249 0.751 0.750
Cs: 0.751 0.249 0.250
Sr: 0.000 0.000 0.000
Sr: 0.000 0.000 0.500
Er: 0.477 0.523 0.250
Er: 0.523 0.477 0.750
S: 0.061 0.939 0.250
S: 0.388 0.612 0.078
S: 0.388 0.612 0.422
S: 0.612 0.388 0.578
S: 0.612 0.388 0.922
S: 0.939 0.061 0.750

Computed properties:
* space group: Cmcm (63)
* calculated total energy: -5.020 eV/atom

=====

[2]
The following is a DFT calculation (PBE) of a geometry-optimized Cs2TbErS4 structure.

Lattice parameters (Å, degrees): 4.089 4.089 16.045 90.00 90.00 120.00
Positions (direct):
Cs: 0.333 0.667 0.250
Cs: 0.667 0.333 0.750
Tb: 0.000 0.000 0.500
Er: 0.000 0.000 0.000
S: 0.333 0.667 0.592
S: 0.333 0.667 0.910
S: 0.667 0.333 0.090
S: 0.667 0.333 0.408

Computed properties:
* space group: P-3m1 (164)
* calculated total energy: -5.259 eV/atom

=====

[3]
The following is a DFT calculation (PBE) of a geometry-optimized CsErZnS3 structure.

Lattice parameters (Å, degrees): 9.244 3.999 9.907 90.00 112.01 90.00
Positions (direct):
Cs: 0.224 0.250 0.249
Cs: 0.776 0.750 0.751
Er: 0.330 0.750 0.863
Er: 0.670 0.250 0.137
Zn: 0.082 0.250 0.612
Zn: 0.918 0.750 0.388
S: 0.123 0.250 0.856
S: 0.191 0.750 0.549
S: 0.477 0.750 0.151
S: 0.523 0.250 0.849
S: 0.809 0.250 0.451
S: 0.877 0.750 0.144

Computed properties:
* space group: P2_1/m (11)
* calculated total energy: -4.677 eV/atom

=====

[4]
The following is a DFT calculation (PBE) of a geometry-optimized CsErZnS3 structure.

Lattice parameters (Å, degrees): 9.016 9.016 8.850 99.74 99.74 26.34
Positions (direct):
Cs: 0.154 0.154 0.063
Cs: 0.846 0.846 0.937
Er: 0.164 0.164 0.558
Er: 0.836 0.836 0.442
Zn: 0.478 0.478 0.258
Zn: 0.522 0.522 0.742
S: 0.000 0.000 0.500
S: 0.321 0.321 0.632
S: 0.347 0.347 0.244
S: 0.500 0.500 0.000
S: 0.653 0.653 0.756
S: 0.679 0.679 0.368

Computed properties:
* space group: C2/m (12)
* calculated total energy: -4.459 eV/atom

=====

[5]
The following is a DFT calculation (PBE) of a geometry-optimized CsErSbTe3 structure.

Lattice parameters (Å, degrees): 9.150 9.150 12.489 90.00 90.00 149.48
Positions (direct):
Cs: 0.232 0.768 0.750
Cs: 0.768 0.232 0.250
Er: 0.500 0.500 0.000
Er: 0.500 0.500 0.500
Sb: 0.089 0.911 0.250
Sb: 0.911 0.089 0.750
Te: 0.113 0.887 0.005
Te: 0.113 0.887 0.495
Te: 0.500 0.500 0.250
Te: 0.500 0.500 0.750
Te: 0.887 0.113 0.505
Te: 0.887 0.113 0.995

Computed properties:
* space group: Cmcm (63)
* calculated total energy: -3.936 eV/atom

=====

[6]
The following is a DFT calculation (PBE) of a geometry-optimized Cs2ErScSe4 structure.

Lattice parameters (Å, degrees): 4.140 4.140 16.568 90.00 90.00 120.00
Positions (direct):
Cs: 0.333 0.667 0.246
Cs: 0.667 0.333 0.754
Er: 0.000 0.000 0.500
Sc: 0.000 0.000 0.000
Se: 0.333 0.667 0.595
Se: 0.333 0.667 0.913
Se: 0.667 0.333 0.087
Se: 0.667 0.333 0.405

Computed properties:
* space group: P-3m1 (164)
* calculated total energy: -4.957 eV/atom

=====

[7]
The following is a DFT calculation (PBE) of a geometry-optimized CsErScTe3 structure.

Lattice parameters (Å, degrees): 8.953 8.953 11.704 90.00 90.00 150.90
Positions (direct):
Cs: 0.241 0.759 0.750
Cs: 0.759 0.241 0.250
Er: 0.500 0.500 0.000
Er: 0.500 0.500 0.500
Sc: 0.039 0.961 0.250
Sc: 0.961 0.039 0.750
Te: 0.122 0.878 0.047
Te: 0.122 0.878 0.453
Te: 0.441 0.559 0.250
Te: 0.559 0.441 0.750
Te: 0.878 0.122 0.547
Te: 0.878 0.122 0.953

Computed properties:
* space group: Cmcm (63)
* calculated total energy: -4.760 eV/atom

=====

[8]
The following is a DFT calculation (PBE) of a geometry-optimized CsSmErSe3 structure.

Lattice parameters (Å, degrees): 8.539 8.539 11.212 90.00 90.00 149.02
Positions (direct):
Cs: 0.238 0.762 0.750
Cs: 0.762 0.238 0.250
Sm: 0.034 0.966 0.250
Sm: 0.966 0.034 0.750
Er: 0.500 0.500 0.000
Er: 0.500 0.500 0.500
Se: 0.115 0.885 0.032
Se: 0.115 0.885 0.468
Se: 0.439 0.561 0.250
Se: 0.561 0.439 0.750
Se: 0.885 0.115 0.532
Se: 0.885 0.115 0.968

Computed properties:
* space group: Cmcm (63)
* calculated total energy: -4.950 eV/atom

=====

[9]
The following is a DFT calculation (PBE) of a geometry-optimized Cs2TbErSe4 structure.

Lattice parameters (Å, degrees): 4.247 4.247 16.692 90.00 90.00 120.00
Positions (direct):
Cs: 0.333 0.667 0.251
Cs: 0.667 0.333 0.749
Tb: 0.000 0.000 0.000
Er: 0.000 0.000 0.500
Se: 0.333 0.667 0.592
Se: 0.333 0.667 0.906
Se: 0.667 0.333 0.094
Se: 0.667 0.333 0.408

Computed properties:
* space group: P-3m1 (164)
* calculated total energy: -4.830 eV/atom

=====

[10]
The following is a DFT calculation (PBE) of a geometry-optimized CsErZnTe2Se structure.

Lattice parameters (Å, degrees): 8.767 8.767 11.198 90.00 90.00 151.42
Positions (direct):
Cs: 0.236 0.764 0.750
Cs: 0.764 0.236 0.250
Er: 0.500 0.500 0.000
Er: 0.500 0.500 0.500
Zn: 0.037 0.963 0.250
Zn: 0.963 0.037 0.750
Te: 0.122 0.878 0.052
Te: 0.122 0.878 0.448
Te: 0.878 0.122 0.552
Te: 0.878 0.122 0.948
Se: 0.452 0.548 0.250
Se: 0.548 0.452 0.750

Computed properties:
* space group: Cmcm (63)
* calculated total energy: -3.938 eV/atom

=====

[11]
The following is a DFT calculation (PBE) of a geometry-optimized CsErSi structure.

Lattice parameters (Å, degrees): 7.575 7.575 7.575 90.00 90.00 90.00
Positions (direct):
Cs: 0.000 0.000 0.000
Cs: 0.000 0.500 0.500
Cs: 0.500 0.000 0.500
Cs: 0.500 0.500 0.000
Er: 0.000 0.000 0.500
Er: 0.000 0.500 0.000
Er: 0.500 0.000 0.000
Er: 0.500 0.500 0.500
Si: 0.250 0.250 0.250
Si: 0.250 0.750 0.750
Si: 0.750 0.250 0.750
Si: 0.750 0.750 0.250

Computed properties:
* space group: F-43m (216)
* calculated total energy: -3.118 eV/atom

=====

[12]
The following is a DFT calculation (PBE) of a geometry-optimized CsSmEr structure.

Lattice parameters (Å, degrees): 8.639 8.639 8.639 90.00 90.00 90.00
Positions (direct):
Cs: 0.000 0.000 0.000
Cs: 0.000 0.500 0.500
Cs: 0.500 0.000 0.500
Cs: 0.500 0.500 0.000
Sm: 0.000 0.000 0.500
Sm: 0.000 0.500 0.000
Sm: 0.500 0.000 0.000
Sm: 0.500 0.500 0.500
Er: 0.250 0.250 0.250
Er: 0.250 0.750 0.750
Er: 0.750 0.250 0.750
Er: 0.750 0.750 0.250

Computed properties:
* space group: F-43m (216)
* calculated total energy: -2.141 eV/atom